1.
Density functional theory data (GGA-PBE) for a relaxed structure of GeTePCl2.

Cell lengths 4.7868, 4.7868, 5.3194 Å; angles 90.00, 90.00, 90.00 degrees
Space group P4/mmm (No. 123)
Asymmetric unit:
Ge  0.0000  0.0000  0.0000
Te  0.5000  0.5000  0.5000
P  0.0000  0.0000  0.5000
Cl  0.0000  0.5000  0.0000

## Properties
**Relative energy among the computed polymorphs**: 0.000 eV/f.u.
**Crystal system**: tetragonal
**Raw formation energy**: 19 kJ per mole of atoms
**Raw total energy**: -15.9 eV per cell

2.
Density functional theory data (GGA-PBE) for a relaxed structure of Tb7DyZn4.

Cell lengths 13.9917, 5.5375, 9.7369 Å; angles 90.00, 122.86, 90.00 degrees
Space group C2/m (No. 12)
Asymmetric unit:
Tb  0.0000  0.0000  0.0000
Tb  0.0706  0.5000  0.4043
Tb  0.2081  0.5000  0.8799
Tb  0.2229  0.0000  0.6728
Dy  0.0000  0.5000  0.0000
Zn  0.0419  0.0000  0.7338
Zn  0.1784  0.0000  0.3383

## Properties
**Crystal system**: monoclinic
**E_form**: -0.0019 eV/atom
**Raw total energy**: -84.3 eV per cell

| no. | V (Å³/atom) |
| --- | --- |
| 1 | 24.4 |
| 2 | 26.4 |